No. 1
The following is a DFT calculation (PBE) of crystalline ScAl2Pd9 at its relaxed geometry.

a = 3.953 Å, b = 3.953 Å, c = 11.761 Å
α = 90.00°, β = 90.00°, γ = 90.00°
Element x y z (fractional)
Sc 0.000 0.000 0.000
Al 0.000 0.000 0.339
Al 0.000 0.000 0.661
Pd 0.500 0.500 0.000
Pd 0.500 0.500 0.336
Pd 0.500 0.500 0.664
Pd 0.500 0.000 0.174
Pd 0.500 0.000 0.500
Pd 0.500 0.000 0.826
Pd 0.000 0.500 0.174
Pd 0.000 0.500 0.500
Pd 0.000 0.500 0.826

Space group: No. 123
Energy of formation, eV per atom: -0.688


No. 2
The following is a DFT calculation (PBE) of crystalline Zn2HSe2 at its relaxed geometry.

a = 4.093 Å, b = 4.093 Å, c = 7.631 Å
α = 74.44°, β = 74.44°, γ = 90.00°
Element x y z (fractional)
H 0.000 0.000 0.000
Zn 0.750 0.250 0.500
Zn 0.250 0.750 0.500
Se 0.356 0.356 0.288
Se 0.644 0.644 0.712

Space group: No. 139
Energy relative to the lowest polymorph listed for this composition, eV per atom: 0.000


Number 1: D(E_F) 10.69 states/eV per cell. Number 2: D(E_F) 0.00 states/eV per cell.